P) ## Pm3NdEr2 (PBE)

Data for a relaxed Pm3NdEr2 crystal.

Geometry as CIF:
```
data_Pm3NdEr2
_chemical_formula_sum 'Pm6 Nd2 Er4'
_cell_length_a 6.291
_cell_length_b 7.278
_cell_length_c 8.969
_cell_angle_alpha 101.69
_cell_angle_beta 96.74
_cell_angle_gamma 90.00
_space_group_name_H-M_alt 'P -1'
_space_group_IT_number 2
loop_
_space_group_symop_operation_xyz
'x,y,z'
'-x,-y,-z'
loop_
_atom_site_label
_atom_site_fract_x
_atom_site_fract_y
_atom_site_fract_z
_atom_site_occupancy
Pm1 0.139 0.459 0.335 1
Pm2 0.140 0.959 0.335 1
Pm3 0.252 0.624 0.996 1
Nd1 0.252 0.124 0.996 1
Er1 0.363 0.791 0.665 1
Er2 0.364 0.292 0.665 1
```

crystal system: triclinic



Q) ## Pm3NdEr2 (PBE)

Data for a relaxed Pm3NdEr2 crystal.

Geometry as CIF:
```
data_Pm3NdEr2
_chemical_formula_sum 'Pm6 Nd2 Er4'
_cell_length_a 3.498
_cell_length_b 5.952
_cell_length_c 19.661
_cell_angle_alpha 90.00
_cell_angle_beta 90.00
_cell_angle_gamma 90.00
_space_group_name_H-M_alt 'I m m m'
_space_group_IT_number 71
_space_group_name_Hall '-I 2 2'
loop_
_atom_site_label
_atom_site_fract_x
_atom_site_fract_y
_atom_site_fract_z
_atom_site_occupancy
Pm1 0.000 0.000 0.000 1
Pm2 0.000 0.500 0.192 1
Nd1 0.000 0.500 0.000 1
Er1 0.000 0.500 0.362 1
```

crystal system: orthorhombic



Q: What are the energies relative to the best structure? A: P) 0; Q) 333, in meV per atom.



P) ## PmNd7Er3 (PBE)

Data for a relaxed PmNd7Er3 crystal.

Geometry as CIF:
```
data_PmNd7Er3
_chemical_formula_sum 'Pm4 Nd28 Er12'
_cell_length_a 19.245
_cell_length_b 7.246
_cell_length_c 12.561
_cell_angle_alpha 90.00
_cell_angle_beta 115.87
_cell_angle_gamma 90.00
_space_group_name_H-M_alt 'C 1 2/c 1'
_space_group_IT_number 15
loop_
_space_group_symop_operation_xyz
'x,y,z'
'-x,-y,-z'
'-x,y,-z+1/2'
'x,-y,z+1/2'
'x+1/2,y+1/2,z'
'-x+1/2,-y+1/2,-z'
'-x+1/2,y+1/2,-z+1/2'
'x+1/2,-y+1/2,z+1/2'
loop_
_atom_site_label
_atom_site_fract_x
_atom_site_fract_y
_atom_site_fract_z
_atom_site_occupancy
Pm1 0.000 0.000 0.000 1
Nd1 0.000 0.234 0.250 1
Nd2 0.161 0.493 0.775 1
Nd3 0.168 0.247 0.530 1
Nd4 0.168 0.249 0.028 1
Er1 0.000 0.500 0.000 1
Er2 0.169 0.004 0.276 1
```

crystal system: monoclinic



Q) ## PmNd7Er3 (PBE)

Data for a relaxed PmNd7Er3 crystal.

Geometry as CIF:
```
data_PmNd7Er3
_chemical_formula_sum 'Pm2 Nd14 Er6'
_cell_length_a 12.796
_cell_length_b 11.440
_cell_length_c 5.926
_cell_angle_alpha 90.00
_cell_angle_beta 117.54
_cell_angle_gamma 90.00
_space_group_name_H-M_alt 'C 1 2/m 1'
_space_group_IT_number 12
loop_
_space_group_symop_operation_xyz
'x,y,z'
'-x,-y,-z'
'-x,y,-z'
'x,-y,z'
'x+1/2,y+1/2,z'
'-x+1/2,-y+1/2,-z'
'-x+1/2,y+1/2,-z'
'x+1/2,-y+1/2,z'
loop_
_atom_site_label
_atom_site_fract_x
_atom_site_fract_y
_atom_site_fract_z
_atom_site_occupancy
Pm1 0.000 0.000 0.000 1
Nd1 0.000 0.000 0.500 1
Nd2 0.195 0.292 0.195 1
Nd3 0.209 0.500 0.708 1
Er1 0.000 0.298 0.500 1
Er2 0.000 0.500 0.000 1
```

crystal system: monoclinic



Q: What are the energies relative to the best structure? A: P) 0; Q) 42, in meV per atom.



P) ## TbPmNdEr (PBE)

Data for a relaxed TbPmNdEr crystal.

Geometry as CIF:
```
data_TbPmNdEr
_chemical_formula_sum 'Tb4 Pm4 Nd4 Er4'
_cell_length_a 8.102
_cell_length_b 8.102
_cell_length_c 8.102
_cell_angle_alpha 90.00
_cell_angle_beta 90.00
_cell_angle_gamma 90.00
_space_group_name_H-M_alt 'F -4 3 m'
_space_group_IT_number 216
_space_group_name_Hall 'F -4 2 3'
loop_
_atom_site_label
_atom_site_fract_x
_atom_site_fract_y
_atom_site_fract_z
_atom_site_occupancy
Tb1 0.000 0.000 0.000 1
Pm1 0.250 0.250 0.250 1
Nd1 0.250 0.250 0.750 1
Er1 0.000 0.000 0.500 1
```

crystal system: cubic



Q) ## TbPmNdEr (PBE)

Data for a relaxed TbPmNdEr crystal.

Geometry as CIF:
```
data_TbPmNdEr
_chemical_formula_sum 'Tb2 Pm2 Nd2 Er2'
_cell_length_a 5.097
_cell_length_b 5.097
_cell_length_c 10.157
_cell_angle_alpha 90.00
_cell_angle_beta 90.00
_cell_angle_gamma 90.00
_space_group_name_H-M_alt 'I -4 m 2'
_space_group_IT_number 119
_space_group_name_Hall 'I -4 -2'
loop_
_atom_site_label
_atom_site_fract_x
_atom_site_fract_y
_atom_site_fract_z
_atom_site_occupancy
Tb1 0.000 0.000 0.000 1
Pm1 0.000 0.000 0.500 1
Nd1 0.000 0.500 0.750 1
Er1 0.000 0.500 0.250 1
```

crystal system: tetragonal



Q: What are the energies relative to the best structure? A: P) 101; Q) 0, in meV per atom.



P) ## PmNdYEr (PBE)

Data for a relaxed PmNdYEr crystal.

Geometry as CIF:
```
data_PmNdYEr
_chemical_formula_sum 'Pm4 Nd4 Y4 Er4'
_cell_length_a 8.115
_cell_length_b 8.115
_cell_length_c 8.115
_cell_angle_alpha 90.00
_cell_angle_beta 90.00
_cell_angle_gamma 90.00
_space_group_name_H-M_alt 'F -4 3 m'
_space_group_IT_number 216
_space_group_name_Hall 'F -4 2 3'
loop_
_atom_site_label
_atom_site_fract_x
_atom_site_fract_y
_atom_site_fract_z
_atom_site_occupancy
Pm1 0.000 0.000 0.000 1
Nd1 0.000 0.000 0.500 1
Y1 0.250 0.250 0.750 1
Er1 0.250 0.250 0.250 1
```

crystal system: cubic



Q) ## PmNdYEr (PBE)

Data for a relaxed PmNdYEr crystal.

Geometry as CIF:
```
data_PmNdYEr
_chemical_formula_sum 'Pm2 Nd2 Y2 Er2'
_cell_length_a 5.108
_cell_length_b 5.108
_cell_length_c 10.146
_cell_angle_alpha 90.00
_cell_angle_beta 90.00
_cell_angle_gamma 90.00
_space_group_name_H-M_alt 'I -4 m 2'
_space_group_IT_number 119
_space_group_name_Hall 'I -4 -2'
loop_
_atom_site_label
_atom_site_fract_x
_atom_site_fract_y
_atom_site_fract_z
_atom_site_occupancy
Pm1 0.000 0.000 0.000 1
Nd1 0.000 0.500 0.250 1
Y1 0.000 0.000 0.500 1
Er1 0.000 0.500 0.750 1
```

crystal system: tetragonal



Q: What are the energies relative to the best structure? A: P) 88; Q) 0, in meV per atom.



P) ## Pr3Nd2Er6 (PBE)

Data for a relaxed Pr3Nd2Er6 crystal.

Geometry as CIF:
```
data_Pr3Nd2Er6
_chemical_formula_sum 'Pr6 Nd4 Er12'
_cell_length_a 6.186
_cell_length_b 10.731
_cell_length_c 11.681
_cell_angle_alpha 90.00
_cell_angle_beta 100.22
_cell_angle_gamma 90.00
_space_group_name_H-M_alt 'C 1 2/m 1'
_space_group_IT_number 12
loop_
_space_group_symop_operation_xyz
'x,y,z'
'-x,-y,-z'
'-x,y,-z'
'x,-y,z'
'x+1/2,y+1/2,z'
'-x+1/2,-y+1/2,-z'
'-x+1/2,y+1/2,-z'
'x+1/2,-y+1/2,z'
loop_
_atom_site_label
_atom_site_fract_x
_atom_site_fract_y
_atom_site_fract_z
_atom_site_occupancy
Pr1 0.000 0.000 0.000 1
Pr2 0.000 0.336 0.000 1
Nd1 0.000 0.167 0.500 1
Er1 0.249 0.334 0.749 1
Er2 0.250 0.000 0.749 1
```

crystal system: monoclinic



Q) ## Pr3Nd2Er6 (PBE)

Data for a relaxed Pr3Nd2Er6 crystal.

Geometry as CIF:
```
data_Pr3Nd2Er6
_chemical_formula_sum 'Pr6 Nd4 Er12'
_cell_length_a 4.788
_cell_length_b 4.788
_cell_length_c 33.172
_cell_angle_alpha 90.00
_cell_angle_beta 90.00
_cell_angle_gamma 90.00
_space_group_name_H-M_alt 'I 4/m m m'
_space_group_IT_number 139
_space_group_name_Hall '-I 4 2'
loop_
_atom_site_label
_atom_site_fract_x
_atom_site_fract_y
_atom_site_fract_z
_atom_site_occupancy
Pr1 0.000 0.000 0.000 1
Pr2 0.000 0.000 0.205 1
Nd1 0.000 0.000 0.454 1
Er1 0.000 0.000 0.309 1
Er2 0.000 0.500 0.120 1
```

crystal system: tetragonal



Q: What are the energies relative to the best structure? A: P) 0; Q) 65, in meV per atom.



P) ## Pr12NdEr7 (PBE)

Data for a relaxed Pr12NdEr7 crystal.

Geometry as CIF:
```
data_Pr12NdEr7
_chemical_formula_sum 'Pr36 Nd3 Er21'
_cell_length_a 15.3349
_cell_length_b 15.3349
_cell_length_c 10.1988
_cell_angle_alpha 90.00
_cell_angle_beta 90.00
_cell_angle_gamma 120.00
_space_group_name_H-M_alt 'R -3'
_space_group_IT_number 148
_space_group_name_Hall '-R 3'
loop_
_atom_site_label
_atom_site_fract_x
_atom_site_fract_y
_atom_site_fract_z
_atom_site_occupancy
Pr1 0.0432 0.1995 0.2521 1
Pr2 0.0466 0.2488 0.5771 1
Nd1 0.0000 0.0000 0.0000 1
Er1 0.0000 0.0000 0.5000 1
Er2 0.0664 0.2453 0.9257 1
```

crystal system: trigonal



Q) ## Pr12NdEr7 (PBE)

Data for a relaxed Pr12NdEr7 crystal.

Geometry as CIF:
```
data_Pr12NdEr7
_chemical_formula_sum 'Pr36 Nd3 Er21'
_cell_length_a 19.7189
_cell_length_b 19.7189
_cell_length_c 6.2699
_cell_angle_alpha 90.00
_cell_angle_beta 90.00
_cell_angle_gamma 120.00
_space_group_name_H-M_alt 'R -3'
_space_group_IT_number 148
_space_group_name_Hall '-R 3'
loop_
_atom_site_label
_atom_site_fract_x
_atom_site_fract_y
_atom_site_fract_z
_atom_site_occupancy
Pr1 0.0007 0.5884 0.0013 1
Pr2 0.0976 0.5477 0.4704 1
Nd1 0.0000 0.0000 0.5000 1
Er1 0.0000 0.0000 0.0000 1
Er2 0.0805 0.1634 0.2941 1
```

crystal system: trigonal



Q: What are the energies relative to the best structure? A: P) 0; Q) 96, in meV per atom.



P) ## PrNd3Er (PBE)

Data for a relaxed PrNd3Er crystal.

Geometry as CIF:
```
data_PrNd3Er
_chemical_formula_sum 'Pr4 Nd12 Er4'
_cell_length_a 8.186
_cell_length_b 14.154
_cell_length_c 6.223
_cell_angle_alpha 90.00
_cell_angle_beta 90.00
_cell_angle_gamma 90.00
_space_group_name_H-M_alt 'C m c m'
_space_group_IT_number 63
_space_group_name_Hall '-C 2c 2'
loop_
_atom_site_label
_atom_site_fract_x
_atom_site_fract_y
_atom_site_fract_z
_atom_site_occupancy
Pr1 0.000 0.201 0.250 1
Nd1 0.000 0.000 0.000 1
Nd2 0.198 0.401 0.250 1
Er1 0.000 0.335 0.750 1
```

crystal system: orthorhombic



Q) ## PrNd3Er (PBE)

Data for a relaxed PrNd3Er crystal.

Geometry as CIF:
```
data_PrNd3Er
_chemical_formula_sum 'Pr2 Nd6 Er2'
_cell_length_a 6.309
_cell_length_b 6.336
_cell_length_c 9.664
_cell_angle_alpha 102.59
_cell_angle_beta 108.98
_cell_angle_gamma 99.72
_space_group_name_H-M_alt 'P -1'
_space_group_IT_number 2
loop_
_space_group_symop_operation_xyz
'x,y,z'
'-x,-y,-z'
loop_
_atom_site_label
_atom_site_fract_x
_atom_site_fract_y
_atom_site_fract_z
_atom_site_occupancy
Pr1 0.000 0.000 0.000 1
Pr2 0.000 0.500 0.500 1
Nd1 0.201 0.096 0.698 1
Nd2 0.203 0.603 0.204 1
Nd3 0.401 0.698 0.899 1
Er1 0.402 0.201 0.403 1
```

crystal system: triclinic



Q: What are the energies relative to the best structure? A: P) 308; Q) 0, in meV per atom.



P) ## Pr2Nd8Er (PBE)

Data for a relaxed Pr2Nd8Er crystal.

Geometry as CIF:
```
data_Pr2Nd8Er
_chemical_formula_sum 'Pr4 Nd16 Er2'
_cell_length_a 16.842
_cell_length_b 6.893
_cell_length_c 6.862
_cell_angle_alpha 90.00
_cell_angle_beta 101.24
_cell_angle_gamma 90.00
_space_group_name_H-M_alt 'C 1 2/m 1'
_space_group_IT_number 12
loop_
_space_group_symop_operation_xyz
'x,y,z'
'-x,-y,-z'
'-x,y,-z'
'x,-y,z'
'x+1/2,y+1/2,z'
'-x+1/2,-y+1/2,-z'
'-x+1/2,y+1/2,-z'
'x+1/2,-y+1/2,z'
loop_
_atom_site_label
_atom_site_fract_x
_atom_site_fract_y
_atom_site_fract_z
_atom_site_occupancy
Pr1 0.194 0.000 0.305 1
Nd1 0.086 0.263 0.902 1
Nd2 0.092 0.500 0.416 1
Nd3 0.243 0.000 0.814 1
Er1 0.000 0.000 0.500 1
```

crystal system: monoclinic



Q) ## Pr2Nd8Er (PBE)

Data for a relaxed Pr2Nd8Er crystal.

Geometry as CIF:
```
data_Pr2Nd8Er
_chemical_formula_sum 'Pr4 Nd16 Er2'
_cell_length_a 11.416
_cell_length_b 7.516
_cell_length_c 9.480
_cell_angle_alpha 90.00
_cell_angle_beta 106.85
_cell_angle_gamma 90.00
_space_group_name_H-M_alt 'C 1 2/m 1'
_space_group_IT_number 12
loop_
_space_group_symop_operation_xyz
'x,y,z'
'-x,-y,-z'
'-x,y,-z'
'x,-y,z'
'x+1/2,y+1/2,z'
'-x+1/2,-y+1/2,-z'
'-x+1/2,y+1/2,-z'
'x+1/2,-y+1/2,z'
loop_
_atom_site_label
_atom_site_fract_x
_atom_site_fract_y
_atom_site_fract_z
_atom_site_occupancy
Pr1 0.142 0.000 0.134 1
Nd1 0.066 0.284 0.772 1
Nd2 0.183 0.500 0.130 1
Nd3 0.191 0.500 0.497 1
Er1 0.000 0.000 0.500 1
```

crystal system: monoclinic



Q: What are the energies relative to the best structure? A: P) 28; Q) 0, in meV per atom.



P) ## Pr6Nd12Er (PBE)

Data for a relaxed Pr6Nd12Er crystal.

Geometry as CIF:
```
data_Pr6Nd12Er
_chemical_formula_sum 'Pr18 Nd36 Er3'
_cell_length_a 12.3728
_cell_length_b 12.3728
_cell_length_c 15.4021
_cell_angle_alpha 90.00
_cell_angle_beta 90.00
_cell_angle_gamma 120.00
_space_group_name_H-M_alt 'R -3'
_space_group_IT_number 148
_space_group_name_Hall '-R 3'
loop_
_atom_site_label
_atom_site_fract_x
_atom_site_fract_y
_atom_site_fract_z
_atom_site_occupancy
Pr1 0.0136 0.5908 0.1855 1
Nd1 0.0017 0.1716 0.6896 1
Nd2 0.0487 0.1964 0.9165 1
Er1 0.0000 0.0000 0.5000 1
```

crystal system: trigonal



Q) ## Pr6Nd12Er (PBE)

Data for a relaxed Pr6Nd12Er crystal.

Geometry as CIF:
```
data_Pr6Nd12Er
_chemical_formula_sum 'Pr18 Nd36 Er3'
_cell_length_a 16.6597
_cell_length_b 16.6597
_cell_length_c 8.6108
_cell_angle_alpha 90.00
_cell_angle_beta 90.00
_cell_angle_gamma 120.00
_space_group_name_H-M_alt 'R -3 m'
_space_group_IT_number 166
_space_group_name_Hall '-R 3 2"'
loop_
_atom_site_label
_atom_site_fract_x
_atom_site_fract_y
_atom_site_fract_z
_atom_site_occupancy
Pr1 0.0845 0.1690 0.1467 1
Nd1 0.0000 0.3788 0.0000 1
Nd2 0.0940 0.5470 0.3146 1
Er1 0.0000 0.0000 0.5000 1
```

crystal system: trigonal



Q: What are the energies relative to the best structure? A: P) 0; Q) 166, in meV per atom.



P) ## Pr3Nd7Er (PBE)

Data for a relaxed Pr3Nd7Er crystal.

Geometry as CIF:
```
data_Pr3Nd7Er
_chemical_formula_sum 'Pr6 Nd14 Er2'
_cell_length_a 11.862
_cell_length_b 10.343
_cell_length_c 6.558
_cell_angle_alpha 90.00
_cell_angle_beta 94.52
_cell_angle_gamma 90.00
_space_group_name_H-M_alt 'C 1 2/m 1'
_space_group_IT_number 12
loop_
_space_group_symop_operation_xyz
'x,y,z'
'-x,-y,-z'
'-x,y,-z'
'x,-y,z'
'x+1/2,y+1/2,z'
'-x+1/2,-y+1/2,-z'
'-x+1/2,y+1/2,-z'
'x+1/2,-y+1/2,z'
loop_
_atom_site_label
_atom_site_fract_x
_atom_site_fract_y
_atom_site_fract_z
_atom_site_occupancy
Pr1 0.000 0.000 0.000 1
Pr2 0.000 0.172 0.500 1
Nd1 0.000 0.500 0.500 1
Nd2 0.241 0.000 0.716 1
Nd3 0.242 0.328 0.762 1
Er1 0.000 0.500 0.000 1
```

crystal system: monoclinic



Q) ## Pr3Nd7Er (PBE)

Data for a relaxed Pr3Nd7Er crystal.

Geometry as CIF:
```
data_Pr3Nd7Er
_chemical_formula_sum 'Pr3 Nd7 Er1'
_cell_length_a 7.2691
_cell_length_b 7.2691
_cell_length_c 8.8630
_cell_angle_alpha 90.00
_cell_angle_beta 90.00
_cell_angle_gamma 120.00
_space_group_name_H-M_alt 'P 3 m 1'
_space_group_IT_number 156
loop_
_space_group_symop_operation_xyz
'x,y,z'
'-y,x-y,z'
'-x+y,-x,z'
'-y,-x,z'
'-x+y,y,z'
'x,x-y,z'
loop_
_atom_site_label
_atom_site_fract_x
_atom_site_fract_y
_atom_site_fract_z
_atom_site_occupancy
Pr1 0.1672 0.3344 0.0000 1
Nd1 0.0000 0.0000 0.6585 1
Nd2 0.0010 0.5005 0.6648 1
Nd3 0.3330 0.1665 0.3311 1
Er1 0.3333 0.6667 0.3390 1
```

crystal system: trigonal



Q: What are the energies relative to the best structure? A: P) 64; Q) 0, in meV per atom.